First-principles (PBEsol) data for a relaxed structure of Y2MgTl, as listed in the Alexandria database.

Lattice parameters (Å, degrees): 7.456 7.456 7.456 90.00 90.00 90.00
Space group Fm-3m (No. 225)
One atom of each set of equivalent atoms:
Y  0.250  0.250  0.250
Mg  0.000  0.000  0.000
Tl  0.000  0.000  0.500

---

First-principles (PBEsol) data for a relaxed structure of Y2MgTl2, as listed in the Alexandria database.

Lattice parameters (Å, degrees): 7.658 7.658 4.471 90.00 90.00 90.00
Space group P4/mbm (No. 127)
One atom of each set of equivalent atoms:
Y  0.168  0.332  0.000
Mg  0.000  0.000  0.500
Tl  0.138  0.638  0.500

---

First-principles (PBEsol) data for a relaxed structure of Y2MgTl, as listed in the Alexandria database.

Lattice parameters (Å, degrees): 3.5880 3.5880 30.2865 90.00 90.00 120.00
Space group R-3m (No. 166, hexagonal axes)
One atom of each set of equivalent atoms:
Y  0.0000  0.0000  0.2472
Mg  0.0000  0.0000  0.0000
Tl  0.0000  0.0000  0.5000

---

First-principles (PBEsol) data for a relaxed structure of Y2MgTl, as listed in the Alexandria database.

Lattice parameters (Å, degrees): 3.757 5.141 10.899 90.00 90.00 90.00
Space group Imm2 (No. 44)
One atom of each set of equivalent atoms:
Y  0.000  0.000  0.000
Y  0.000  0.500  0.234
Mg  0.000  0.000  0.465
Tl  0.000  0.500  0.758

---

First-principles (PBEsol) data for a relaxed structure of YMg2Tl, as listed in the Alexandria database.

Computed properties:
energy above the most stable polymorph in this dataset = 0.31 eV per formula unit

Lattice parameters (Å, degrees): 5.139 5.139 7.241 90.00 90.00 90.00
Space group I-4m2 (No. 119)
One atom of each set of equivalent atoms:
Y  0.000  0.000  0.000
Mg  0.000  0.000  0.500
Mg  0.000  0.500  0.250
Tl  0.000  0.500  0.750

---

First-principles (PBEsol) data for a relaxed structure of Y2MgTl, as listed in the Alexandria database.

Lattice parameters (Å, degrees): 4.836 3.614 12.197 90.00 90.00 90.00
Space group Amm2 (No. 38)
One atom of each set of equivalent atoms:
Y  0.000  0.000  0.000
Y  0.500  0.000  0.332
Mg  0.500  0.000  0.598
Tl  0.000  0.000  0.739

---

First-principles (PBEsol) data for a relaxed structure of Y2MgTl, as listed in the Alexandria database.

Lattice parameters (Å, degrees): 4.899 4.899 4.297 90.00 90.00 90.00
Space group P4/mmm (No. 123)
One atom of each set of equivalent atoms:
Y  0.000  0.500  0.000
Mg  0.000  0.000  0.500
Tl  0.500  0.500  0.500

---

First-principles (PBEsol) data for a relaxed structure of Y2MgTl, as listed in the Alexandria database.

Lattice parameters (Å, degrees): 3.501 4.310 6.898 90.00 90.00 90.00
Space group Pmmm (No. 47)
One atom of each set of equivalent atoms:
Y  0.000  0.000  0.246
Mg  0.500  0.500  0.500
Tl  0.500  0.500  0.000

---

First-principles (PBEsol) data for a relaxed structure of Mg2TlZn, as listed in the Alexandria database.

Lattice parameters (Å, degrees): 3.370 4.732 10.636 90.00 90.00 90.00
Space group Imm2 (No. 44)
One atom of each set of equivalent atoms:
Mg  0.000  0.000  0.000
Mg  0.000  0.500  0.220
Tl  0.000  0.500  0.775
Zn  0.000  0.000  0.505

---

First-principles (PBEsol) data for a relaxed structure of Mg2TlZn, as listed in the Alexandria database.

Lattice parameters (Å, degrees): 6.975 6.975 6.975 90.00 90.00 90.00
Space group F-43m (No. 216)
One atom of each set of equivalent atoms:
Mg  0.000  0.000  0.000
Mg  0.250  0.250  0.250
Tl  0.250  0.250  0.750
Zn  0.000  0.000  0.500

---

First-principles (PBEsol) data for a relaxed structure of Mg2TlZn, as listed in the Alexandria database.

Lattice parameters (Å, degrees): 3.313 3.313 7.483 90.00 90.00 90.00
Space group P4/mmm (No. 123)
One atom of each set of equivalent atoms:
Mg  0.000  0.000  0.216
Tl  0.500  0.500  0.500
Zn  0.500  0.500  0.000

---

First-principles (PBEsol) data for a relaxed structure of MgTl2Zn, as listed in the Alexandria database.

Computed properties:
energy above the most stable polymorph in this dataset = 0.03 eV per formula unit

Lattice parameters (Å, degrees): 3.766 5.271 9.403 90.00 90.00 90.00
Space group Immm (No. 71)
One atom of each set of equivalent atoms:
Mg  0.000  0.000  0.000
Tl  0.000  0.500  0.232
Zn  0.000  0.000  0.500

---

First-principles (PBEsol) data for a relaxed structure of MgTl2Zn, as listed in the Alexandria database.

Computed properties:
energy above the most stable polymorph in this dataset = 0.00 eV per formula unit

Lattice parameters (Å, degrees): 3.4537 3.4537 26.6551 90.00 90.00 120.00
Space group R-3m (No. 166, hexagonal axes)
One atom of each set of equivalent atoms:
Mg  0.0000  0.0000  0.0000
Tl  0.0000  0.0000  0.2451
Zn  0.0000  0.0000  0.5000

---

First-principles (PBEsol) data for a relaxed structure of MgTl2Zn, as listed in the Alexandria database.

Computed properties:
energy above the most stable polymorph in this dataset = 0.01 eV per formula unit

Lattice parameters (Å, degrees): 9.975 3.427 5.523 90.00 103.45 90.00
Space group C2/m (No. 12)
One atom of each set of equivalent atoms:
Mg  0.000  0.000  0.000
Tl  0.241  0.000  0.741
Zn  0.000  0.500  0.500

---

First-principles (PBEsol) data for a relaxed structure of MgZrTl, as listed in the Alexandria database.

Lattice parameters (Å, degrees): 3.259 3.259 12.409 90.00 90.00 90.00
Space group I4mm (No. 107)
One atom of each set of equivalent atoms:
Mg  0.000  0.000  0.000
Zr  0.000  0.000  0.330
Tl  0.000  0.000  0.660

---

First-principles (PBEsol) data for a relaxed structure of MgZr2Tl, as listed in the Alexandria database.

Lattice parameters (Å, degrees): 4.368 4.368 4.460 90.00 90.00 90.00
Space group P4/mmm (No. 123)
One atom of each set of equivalent atoms:
Mg  0.000  0.000  0.000
Zr  0.000  0.500  0.500
Tl  0.500  0.500  0.000

---

First-principles (PBEsol) data for a relaxed structure of MgZrTl, as listed in the Alexandria database.

Lattice parameters (Å, degrees): 4.7619 4.7619 3.2864 90.00 90.00 120.00
Space group P3m1 (No. 156)
One atom of each set of equivalent atoms:
Mg  0.0000  0.0000  0.0000
Zr  0.6667  0.3333  0.5004
Tl  0.3333  0.6667  0.0016

---

First-principles (PBEsol) data for a relaxed structure of MgZr2Tl, as listed in the Alexandria database.

Lattice parameters (Å, degrees): 3.100 3.100 9.376 90.00 90.00 90.00
Space group P4mm (No. 99)
One atom of each set of equivalent atoms:
Mg  0.000  0.000  0.000
Zr  0.000  0.000  0.503
Zr  0.500  0.500  0.740
Tl  0.500  0.500  0.246

---

First-principles (PBEsol) data for a relaxed structure of MgZr2Tl, as listed in the Alexandria database.

Lattice parameters (Å, degrees): 10.824 3.266 5.322 90.00 112.51 90.00
Space group Cm (No. 8)
One atom of each set of equivalent atoms:
Mg  0.000  0.000  0.000
Zr  0.242  0.000  0.620
Zr  0.492  0.000  0.495
Tl  0.243  0.500  0.113

---

First-principles (PBEsol) data for a relaxed structure of MgZrTl, as listed in the Alexandria database.

Lattice parameters (Å, degrees): 4.548 4.138 13.787 90.00 90.00 90.00
Space group Amm2 (No. 38)
One atom of each set of equivalent atoms:
Mg  0.000  0.000  0.000
Mg  0.000  0.000  0.329
Zr  0.500  0.000  0.160
Zr  0.500  0.000  0.835
Tl  0.000  0.000  0.677
Tl  0.500  0.000  0.492

---

First-principles (PBEsol) data for a relaxed structure of MgZr2Tl, as listed in the Alexandria database.

Lattice parameters (Å, degrees): 3.222 4.340 6.133 90.00 90.00 90.00
Space group Pmmm (No. 47)
One atom of each set of equivalent atoms:
Mg  0.000  0.000  0.000
Zr  0.500  0.500  0.248
Tl  0.000  0.000  0.500

---

First-principles (PBEsol) data for a relaxed structure of MgZr2Tl, as listed in the Alexandria database.

Lattice parameters (Å, degrees): 6.070 8.908 3.171 90.00 90.00 90.00
Space group Cmmm (No. 65)
One atom of each set of equivalent atoms:
Mg  0.000  0.000  0.000
Zr  0.250  0.250  0.500
Tl  0.000  0.500  0.000

---

First-principles (PBEsol) data for a relaxed structure of Tm3Mg, as listed in the Alexandria database.

Computed properties:
energy above the most stable polymorph in this dataset = 0.14 eV per formula unit

Lattice parameters (Å, degrees): 6.8103 6.8103 5.3971 90.00 90.00 120.00
Space group P6_3/mmc (No. 194)
One atom of each set of equivalent atoms:
Tm  0.1688  0.3376  0.2500
Mg  0.3333  0.6667  0.7500

---

First-principles (PBEsol) data for a relaxed structure of Tm5Mg24, as listed in the Alexandria database.

Lattice parameters (Å, degrees): 11.111 11.111 11.111 90.00 90.00 90.00
Space group I-43m (No. 217)
One atom of each set of equivalent atoms:
Tm  0.000  0.000  0.000
Tm  0.185  0.185  0.185
Mg  0.034  0.356  0.644
Mg  0.090  0.090  0.719

---

First-principles (PBEsol) data for a relaxed structure of TmMg, as listed in the Alexandria database.

Lattice parameters (Å, degrees): 3.705 3.705 3.705 90.00 90.00 90.00
Space group Pm-3m (No. 221)
One atom of each set of equivalent atoms:
Tm  0.000  0.000  0.000
Mg  0.500  0.500  0.500

---

First-principles (PBEsol) data for a relaxed structure of Tm3Mg, as listed in the Alexandria database.

Computed properties:
energy above the most stable polymorph in this dataset = 0.00 eV per formula unit

Lattice parameters (Å, degrees): 3.439 3.439 9.184 90.00 90.00 90.00
Space group P4/mmm (No. 123)
One atom of each set of equivalent atoms:
Tm  0.000  0.000  0.000
Tm  0.500  0.500  0.256
Mg  0.000  0.000  0.500

---

First-principles (PBEsol) data for a relaxed structure of Tm2Mg, as listed in the Alexandria database.

Lattice parameters (Å, degrees): 3.519 16.969 5.327 90.00 90.00 90.00
Space group Cmcm (No. 63)
One atom of each set of equivalent atoms:
Tm  0.000  0.098  0.250
Tm  0.000  0.226  0.750
Mg  0.000  0.437  0.250

---

First-principles (PBEsol) data for a relaxed structure of TmMgZn2, as listed in the Alexandria database.

Lattice parameters (Å, degrees): 6.662 6.662 6.662 90.00 90.00 90.00
Space group Fm-3m (No. 225)
One atom of each set of equivalent atoms:
Tm  0.000  0.000  0.000
Mg  0.000  0.000  0.500
Zn  0.250  0.250  0.250

---

First-principles (PBEsol) data for a relaxed structure of MgW, as listed in the Alexandria database.

Computed properties:
energy above the most stable polymorph in this dataset = 0.00 eV per formula unit

Lattice parameters (Å, degrees): 2.743 4.466 5.632 90.00 99.82 90.00
Space group P2_1/m (No. 11)
One atom of each set of equivalent atoms:
Mg  0.121  0.250  0.372
W  0.405  0.750  0.105

---

Number 1: density of states at the Fermi level 0.9304 states/eV per atom, energy of formation -314.6 meV/atom. Number 2: density of states at the Fermi level 0.6819 states/eV per atom, energy of formation -398.2 meV/atom. Number 3: density of states at the Fermi level 0.8590 states/eV per atom, energy of formation -143.5 meV/atom. Number 4: density of states at the Fermi level 0.9940 states/eV per atom, energy of formation -243.8 meV/atom. Number 5: density of states at the Fermi level 0.2704 states/eV per atom, energy of formation -204.1 meV/atom. Number 6: density of states at the Fermi level 0.9495 states/eV per atom, energy of formation -259.8 meV/atom. Number 7: density of states at the Fermi level 0.8202 states/eV per atom, energy of formation -312.4 meV/atom. Number 8: density of states at the Fermi level 0.9791 states/eV per atom, energy of formation -289.2 meV/atom. Number 9: density of states at the Fermi level 0.3935 states/eV per atom, energy of formation 1.9 meV/atom. Number 10: density of states at the Fermi level 0.4328 states/eV per atom, energy of formation 80.4 meV/atom. Number 11: density of states at the Fermi level 0.3980 states/eV per atom, energy of formation -55.0 meV/atom. Number 12: density of states at the Fermi level 0.4002 states/eV per atom, energy of formation 83.2 meV/atom. Number 13: density of states at the Fermi level 0.3659 states/eV per atom, energy of formation 76.9 meV/atom. Number 14: density of states at the Fermi level 0.4101 states/eV per atom, energy of formation 79.6 meV/atom. Number 15: density of states at the Fermi level 0.7283 states/eV per atom, energy of formation -35.1 meV/atom. Number 16: density of states at the Fermi level 0.8319 states/eV per atom, energy of formation -126.5 meV/atom. Number 17: density of states at the Fermi level 0.4170 states/eV per atom, energy of formation -60.7 meV/atom. Number 18: density of states at the Fermi level 0.6889 states/eV per atom, energy of formation -66.3 meV/atom. Number 19: density of states at the Fermi level 0.6461 states/eV per atom, energy of formation -78.6 meV/atom. Number 20: density of states at the Fermi level 0.4371 states/eV per atom, energy of formation -154.8 meV/atom. Number 21: density of states at the Fermi level 0.7873 states/eV per atom, energy of formation -89.8 meV/atom. Number 22: density of states at the Fermi level 0.7411 states/eV per atom, energy of formation -94.8 meV/atom. Number 23: density of states at the Fermi level 1.3611 states/eV per atom, energy of formation 17.1 meV/atom. Number 24: density of states at the Fermi level 0.6485 states/eV per atom, energy of formation -31.3 meV/atom. Number 25: density of states at the Fermi level 1.3634 states/eV per atom, energy of formation -44.6 meV/atom. Number 26: density of states at the Fermi level 1.1291 states/eV per atom, energy of formation -17.0 meV/atom. Number 27: density of states at the Fermi level 1.1054 states/eV per atom, energy of formation -46.0 meV/atom. Number 28: density of states at the Fermi level 0.2886 states/eV per atom, energy of formation -330.8 meV/atom. Number 29: density of states at the Fermi level 0.4444 states/eV per atom, energy of formation 390.7 meV/atom.